Density functional theory data (GGA-PBE) for an optimized crystal structure of BaTa2Hg.

abc: 3.0470 3.0470 10.1710
angles: 90.00 90.00 90.00
Positions (direct):
Ba 0.0000 0.0000 0.0000
Ta 0.5000 0.5000 0.2941
Ta 0.5000 0.5000 0.7059
Hg 0.0000 0.0000 0.5000

Summary:
SG: No. 123

=====

Density functional theory data (GGA-PBE) for an optimized crystal structure of BaTa2Hg.

abc: 3.0528 3.0528 10.2161
angles: 90.00 90.00 90.00
Positions (direct):
Ba 0.0000 0.0000 0.0000
Ta 0.0000 0.0000 0.4927
Ta 0.5000 0.5000 0.6932
Hg 0.5000 0.5000 0.2782

Summary:
SG: No. 99

=====

Density functional theory data (GGA-PBE) for an optimized crystal structure of BaTa2Hg.

abc: 4.9876 4.9876 7.3833
angles: 98.40 98.40 37.71
Positions (direct):
Ba 0.0000 0.0000 0.0000
Ta 0.5247 0.5247 0.4401
Ta 0.7939 0.7939 0.3720
Hg 0.2416 0.2416 0.6925

Summary:
SG: No. 8

=====

Density functional theory data (GGA-PBE) for an optimized crystal structure of BaTaHg.

abc: 6.7162 6.7162 6.7162
angles: 152.01 142.71 47.27
Positions (direct):
Ba 0.0000 0.0000 0.0000
Ta 0.7154 0.7154 0.0000
Hg 0.2960 0.2960 0.0000

Summary:
SG: No. 44
ΔE to the lowest computed polymorph, kJ/mol of formula units: 14

=====

Density functional theory data (GGA-PBE) for an optimized crystal structure of BaTa2Hg.

abc: 5.1122 5.1122 5.1122
angles: 60.00 60.00 60.00
Positions (direct):
Ba 0.0000 0.0000 0.0000
Ta 0.5000 0.5000 0.5000
Ta 0.7500 0.7500 0.7500
Hg 0.2500 0.2500 0.2500

Summary:
SG: No. 216

=====

Density functional theory data (GGA-PBE) for an optimized crystal structure of Ba2TaHg.

abc: 6.8306 6.8306 6.0632
angles: 110.10 110.10 30.49
Positions (direct):
Ba 0.0000 0.0000 0.0000
Ba 0.1922 0.1922 0.6418
Ta 0.7624 0.7624 0.1957
Hg 0.4318 0.4318 0.4489

Summary:
SG: No. 8

=====

Density functional theory data (GGA-PBE) for an optimized crystal structure of BaTa2Hg.

abc: 4.4227 4.4227 4.9213
angles: 90.00 90.00 90.00
Positions (direct):
Ba 0.0000 0.0000 0.0000
Ta 0.0000 0.5000 0.5000
Ta 0.5000 0.0000 0.5000
Hg 0.5000 0.5000 0.0000

Summary:
SG: No. 123

=====

Density functional theory data (GGA-PBE) for an optimized crystal structure of Ba2TaHg.

abc: 3.6101 3.6101 11.6294
angles: 98.62 98.62 59.68
Positions (direct):
Ba 0.2468 0.2468 0.2388
Ba 0.7532 0.7532 0.7612
Ta 0.5000 0.5000 0.0000
Hg 0.0000 0.0000 0.5000

Summary:
SG: No. 12

=====

Number 1: M_tot 0.0000 μB/atom, energy relative to the elements 919 meV per atom. Number 2: M_tot 0.0001 μB/atom, energy relative to the elements 559 meV per atom. Number 3: M_tot 0.0000 μB/atom, energy relative to the elements 675 meV per atom. Number 4: M_tot 0.0025 μB/atom, energy relative to the elements 662 meV per atom. Number 5: M_tot 0.0000 μB/atom, energy relative to the elements 910 meV per atom. Number 6: M_tot 0.3417 μB/atom, energy relative to the elements 543 meV per atom. Number 7: M_tot 0.0837 μB/atom, energy relative to the elements 1125 meV per atom. Number 8: M_tot 0.0000 μB/atom, energy relative to the elements 695 meV per atom.